The following is a DFT calculation (PBE) of a relaxed YTlIn2O6 crystal.

Unit cell a=5.709 b=5.709 c=5.980 alpha=61.48 beta=61.48 gamma=60.00
Sites, in units of the cell vectors:
O1 0.400 0.725 0.743
O2 0.220 0.899 0.246
O3 0.635 0.220 0.246
O4 0.132 0.400 0.743
O5 0.899 0.635 0.246
O6 0.725 0.132 0.743
In1 0.023 0.023 0.932
In2 0.520 0.520 0.439
Tl1 0.304 0.304 0.088
Y1 0.804 0.804 0.587

## Properties
SG: R3 (146)
Magnetization (μB per cell): 0.0
ΔE_f (raw) (eV/atom): -1.80
Total energy (eV for the cell shown): -62.039